Entry 1:
A relaxed structure of CePd6Pt6, computed with PBE.

Values from the calculation:
- volume (Å³ per atom) = 17.1
- energy relative to the elements (meV per atom) = -312
- size of the total moment (μB/atom) = 0.0202
- crystal system = orthorhombic
- density (g/cm³) = 14.557

Geometry as extended XYZ:
```
13
Lattice="-2.6651 4.5421 4.5918 2.6651 -4.5421 4.5918 2.6651 4.5421 -4.5918" Properties=species:S:1:pos:R:3 pbc="T T T"
Ce 0.0000 0.0000 0.0000
Pd 2.6651 0.0000 1.8694
Pd 0.0000 3.1315 0.0000
Pd 0.0000 0.0000 3.1885
Pd 0.0000 0.0000 5.9951
Pd 0.0000 5.9527 0.0000
Pd 0.0000 4.5421 2.7224
Pt 1.3326 2.2710 -2.2959
Pt 1.3326 -2.2710 2.2959
Pt 2.6651 2.0416 0.0000
Pt -1.3326 2.2710 2.2959
Pt 1.3326 2.2710 2.2959
Pt 0.0000 2.5005 4.5918
```

Entry 2:
A relaxed structure of SnPb3, computed with PBE.

Values from the calculation:
- volume (Å³ per atom) = 30.6
- energy relative to the elements (meV per atom) = 30
- size of the total moment (μB/atom) = 0.0000
- crystal system = orthorhombic
- density (g/cm³) = 10.042
- offset from the most stable computed form (meV per atom) = 14.6

Geometry as extended XYZ:
```
4
Lattice="4.5761 0.0000 0.0000 0.0000 5.1703 0.0000 0.0000 0.0000 5.1740" Properties=species:S:1:pos:R:3 pbc="T T T"
Sn 0.0000 0.0000 0.0000
Pb 0.0000 2.5851 2.6431
Pb 2.2880 0.0000 2.5890
Pb 2.2880 2.5851 0.0445
```

Entry 3:
A relaxed structure of FeNi2HgN, computed with PBE.

Values from the calculation:
- volume (Å³ per atom) = 11.8
- size of the total moment (μB/atom) = 0.4430
- crystal system = tetragonal
- density (g/cm³) = 10.892
- E (eV/atom) = -5.69

Geometry as extended XYZ:
```
5
Lattice="3.9233 0.0000 0.0000 0.0000 3.9233 0.0000 0.0000 0.0000 3.8411" Properties=species:S:1:pos:R:3 pbc="T T T"
Fe 0.0000 0.0000 0.0000
Ni 0.0000 1.9617 1.9206
Ni 1.9617 0.0000 1.9206
Hg 1.9617 1.9617 0.0000
N 0.0000 0.0000 1.9206
```

Entry 4:
A relaxed structure of SrMn2, computed with PBE.

Values from the calculation:
- volume (Å³ per atom) = 24.6
- energy relative to the elements (meV per atom) = 388
- size of the total moment (μB/atom) = 0.0178
- crystal system = monoclinic
- density (g/cm³) = 4.449

Geometry as extended XYZ:
```
6
Lattice="3.4184 -1.9721 0.0000 3.4184 1.9721 0.0000 -2.2437 0.0000 10.9353" Properties=species:S:1:pos:R:3 pbc="T T T"
Sr 0.0000 0.0000 0.0000
Sr -0.0036 0.0000 7.1040
Mn -0.0028 0.0000 3.9315
Mn 2.2773 0.0000 2.2203
Mn 2.2745 0.0000 4.5570
Mn 4.5555 0.0000 2.6228
```